No. 1
Mg2ZnPt GGA-PBE relaxed; M_tot = 0.0000 μB per atom; DFT formation energy = -0.418 eV per atom; crystal system = tetragonal; SG = P4mm (99)
1.0
3.321 0.000 0.000
0.000 3.321 0.000
0.000 0.000 6.290
Mg Zn Pt
2 1 1
Direct
0.000 0.000 0.000
0.500 0.500 0.315
0.500 0.500 0.756
0.000 0.000 0.544

No. 2
MgZnPt GGA-PBE relaxed; M_tot = 0.0000 μB per atom; DFT formation energy = -0.580 eV per atom; crystal system = orthorhombic; SG = Imm2 (44)
1.0
-1.448 1.922 4.221
1.448 -1.922 4.221
1.448 1.922 -4.221
Mg Zn Pt
1 1 1
Direct
0.000 0.000 0.000
0.322 0.322 0.000
0.664 0.664 0.000

No. 3
MgZn4Pt2 GGA-PBE relaxed; M_tot = 0.0000 μB per atom; DFT formation energy = -0.013 eV per atom; crystal system = tetragonal; SG = I4/mmm (139)
1.0
-2.399 2.399 5.202
2.399 -2.399 5.202
2.399 2.399 -5.202
Mg Zn Pt
1 4 2
Direct
0.000 0.000 0.000
0.000 0.500 0.500
0.250 0.750 0.500
0.500 0.000 0.500
0.750 0.250 0.500
0.366 0.366 0.000
0.634 0.634 0.000

No. 4
MgZn6Pt2 GGA-PBE relaxed; energy above the lowest structure with this stoichiometry = 56.0 meV per atom; M_tot = 0.0000 μB per atom; DFT formation energy = -0.286 eV per atom; crystal system = orthorhombic; SG = Immm (71)
1.0
-2.139 2.699 6.225
2.139 -2.699 6.225
2.139 2.699 -6.225
Mg Zn Pt
1 6 2
Direct
0.000 0.000 0.000
0.049 0.302 0.747
0.274 0.500 0.774
0.445 0.698 0.747
0.555 0.302 0.253
0.726 0.500 0.226
0.951 0.698 0.253
0.384 0.884 0.500
0.616 0.116 0.500

No. 5
Mg2Zn2Pt GGA-PBE relaxed; energy above the lowest structure with this stoichiometry = 12.0 meV per atom; M_tot = 0.0000 μB per atom; DFT formation energy = -0.309 eV per atom; crystal system = tetragonal; SG = P4/mbm (127)
1.0
6.595 0.000 0.000
0.000 6.595 0.000
0.000 0.000 4.011
Mg Zn Pt
4 4 2
Direct
0.176 0.324 0.000
0.324 0.824 0.000
0.676 0.176 0.000
0.824 0.676 0.000
0.132 0.632 0.500
0.368 0.132 0.500
0.632 0.868 0.500
0.868 0.368 0.500
0.000 0.000 0.500
0.500 0.500 0.500

No. 6
MgZrZnPt GGA-PBE relaxed; M_tot = 0.0000 μB per atom; DFT formation energy = -0.672 eV per atom; crystal system = cubic; SG = F-43m (216)
1.0
0.000 3.276 3.276
3.276 0.000 3.276
3.276 3.276 0.000
Mg Zr Zn Pt
1 1 1 1
Direct
0.000 0.000 0.000
0.500 0.500 0.500
0.750 0.750 0.750
0.250 0.250 0.250

No. 7
MgZrZn2Pt2 GGA-PBE relaxed; M_tot = 0.0000 μB per atom; DFT formation energy = -0.663 eV per atom; crystal system = trigonal; SG = P-3m1 (164)
1.0
4.413 0.000 0.000
-2.207 3.822 0.000
0.000 0.000 6.035
Mg Zr Zn Pt
1 1 2 2
Direct
0.000 0.000 0.000
0.000 0.000 0.500
0.333 0.667 0.226
0.667 0.333 0.774
0.333 0.667 0.748
0.667 0.333 0.252

No. 8
MgZr2Pt9 GGA-PBE relaxed; M_tot = 0.0000 μB per atom; DFT formation energy = -0.923 eV per atom; crystal system = tetragonal; SG = P4/mmm (123)
1.0
4.028 0.000 0.000
0.000 4.028 0.000
0.000 0.000 12.036
Mg Zr Pt
1 2 9
Direct
0.000 0.000 0.000
0.000 0.000 0.327
0.000 0.000 0.673
0.000 0.500 0.164
0.000 0.500 0.500
0.000 0.500 0.836
0.500 0.000 0.164
0.500 0.000 0.500
0.500 0.000 0.836
0.500 0.500 0.000
0.500 0.500 0.332
0.500 0.500 0.668

No. 9
MgZrPt GGA-PBE relaxed; M_tot = 0.0000 μB per atom; DFT formation energy = -0.021 eV per atom; crystal system = cubic; SG = F-43m (216)
1.0
0.000 3.217 3.217
3.217 0.000 3.217
3.217 3.217 0.000
Mg Zr Pt
1 1 1
Direct
0.000 0.000 0.000
0.750 0.750 0.750
0.500 0.500 0.500

No. 10
MgZr2Pt GGA-PBE relaxed; M_tot = 0.0005 μB per atom; DFT formation energy = -0.397 eV per atom; crystal system = tetragonal; SG = P4/mmm (123)
1.0
3.021 0.000 0.000
0.000 3.021 0.000
0.000 0.000 9.048
Mg Zr Pt
1 2 1
Direct
0.000 0.000 0.000
0.500 0.500 0.282
0.500 0.500 0.718
0.000 0.000 0.500

No. 11
Mg3ZrPt4 GGA-PBE relaxed; M_tot = 0.0000 μB per atom; DFT formation energy = -0.923 eV per atom; crystal system = orthorhombic; SG = Pmma (51)
1.0
9.414 0.000 0.000
0.000 5.934 0.000
0.000 0.000 4.798
Mg Zr Pt
6 2 8
Direct
0.000 0.000 0.000
0.250 0.000 0.421
0.250 0.500 0.440
0.500 0.000 0.000
0.750 0.000 0.579
0.750 0.500 0.560
0.000 0.500 0.000
0.500 0.500 0.000
0.000 0.245 0.500
0.000 0.755 0.500
0.250 0.244 0.918
0.250 0.756 0.918
0.500 0.245 0.500
0.500 0.755 0.500
0.750 0.244 0.082
0.750 0.756 0.082

No. 12
MgZr2Pt GGA-PBE relaxed; M_tot = 0.0000 μB per atom; DFT formation energy = -0.533 eV per atom; crystal system = tetragonal; SG = P4mm (99)
1.0
3.332 0.000 0.000
0.000 3.332 0.000
0.000 0.000 7.330
Mg Zr Pt
1 2 1
Direct
0.000 0.000 0.000
0.000 0.000 0.425
0.500 0.500 0.707
0.500 0.500 0.211

- M_tot of number 9 (MgZrPt)?
  0.0000 μB per atom

- The highest DFT formation energy belongs to which entry?
  MgZn4Pt2